# 1
# RbSe3Cl

A geometry-optimized RbSe3Cl structure (PBE, the Alexandria database).

Geometry as POSCAR:
```
RbSe3Cl
1.0
5.245 0.000 0.000
0.000 5.245 0.000
0.000 0.000 5.245
Rb Se Cl
1 3 1
Direct
0.000 0.000 0.000
0.000 0.500 0.500
0.500 0.000 0.500
0.500 0.500 0.000
0.500 0.500 0.500
```

Computed properties:
Its density of states at the Fermi level is 4.23 states/eV/cell. The calculated total energy comes out at -2.454 eV/atom. Its magnetic moment is 0.00 Bohr magnetons per cell.

# 2
# PaAg4Bi

A geometry-optimized PaAg4Bi structure (PBE, the Alexandria database).

Geometry as POSCAR:
```
PaAg4Bi
1.0
0.000 4.040 4.040
4.040 0.000 4.040
4.040 4.040 0.000
Pa Ag Bi
1 4 1
Direct
0.000 0.000 0.000
0.374 0.374 0.374
0.374 0.374 0.877
0.374 0.877 0.374
0.877 0.374 0.374
0.750 0.750 0.750
```

Computed properties:
Its density of states at the Fermi level is 9.74 states/eV/cell. The formation energy is 13.8 kJ/mol of atoms. Its magnetic moment is 1.85 Bohr magnetons per cell.

# 3
# Y3Ni

A geometry-optimized Y3Ni structure (PBE, the Alexandria database).

Geometry as POSCAR:
```
Y3Ni
1.0
6.886 0.000 0.000
0.000 9.647 0.000
0.000 0.000 6.369
Y Ni
12 4
Direct
0.034 0.250 0.141
0.178 0.067 0.679
0.178 0.433 0.679
0.322 0.567 0.179
0.322 0.933 0.179
0.466 0.750 0.641
0.534 0.250 0.359
0.678 0.067 0.821
0.678 0.433 0.821
0.822 0.567 0.321
0.822 0.933 0.321
0.966 0.750 0.859
0.109 0.750 0.447
0.391 0.250 0.947
0.609 0.750 0.053
0.891 0.250 0.553
```

Computed properties:
Its density of states at the Fermi level is 19.02 states/eV/cell. The formation energy is -23.2 kJ/mol of atoms. Its magnetic moment is 0.00 Bohr magnetons per cell.